# 1
# AlSi

A geometry-optimized AlSi structure (PBE-GGA, Alexandria via LeMat-Bulk).

Calculated values
raw total energy: -4.4046 eV/atom
energy relative to the elements, uncorrected: 0.18 eV per atom
theoretical density: 2.4 g/cm3

Lattice parameters (Å, degrees): 3.871 2.866 6.908 90.00 90.00 90.00
Sites, in units of the cell vectors:
Si (0.500, 0.500, 0.900)
Al (0.500, 0.500, 0.545)
Al (0.000, 0.000, 0.045)
Si (0.000, 0.000, 0.400)



# 2
# AlSi2

A geometry-optimized AlSi2 structure (PBE-GGA, Alexandria via LeMat-Bulk).

Calculated values
raw total energy: -4.6065 eV/atom
energy relative to the elements, uncorrected: 0.26 eV per atom
theoretical density: 3.0 g/cm3

Lattice parameters (Å, degrees): 4.358 4.358 5.675 90.00 90.00 120.00
Sites, in units of the cell vectors:
Si (0.333, 0.667, 0.964)
Al (0.000, 0.000, 0.250)
Si (0.667, 0.333, 0.464)
Si (0.667, 0.333, 0.036)
Al (0.000, 0.000, 0.750)
Si (0.333, 0.667, 0.536)



# 3
# AlSi3

A geometry-optimized AlSi3 structure (PBE-GGA, Alexandria via LeMat-Bulk).

Calculated values
raw total energy: -4.6608 eV/atom
energy relative to the elements, uncorrected: 0.34 eV per atom
theoretical density: 3.1 g/cm3

Lattice parameters (Å, degrees): 4.244 4.244 3.450 90.00 90.00 103.53
Sites, in units of the cell vectors:
Si (0.500, 0.000, 0.500)
Si (0.500, 0.500, 0.000)
Al (0.000, 0.000, 0.000)
Si (0.000, 0.500, 0.500)



# 4
# AlSi5

A geometry-optimized AlSi5 structure (PBE-GGA, Alexandria via LeMat-Bulk).

Calculated values
raw total energy: -4.7652 eV/atom
energy relative to the elements, uncorrected: 0.38 eV per atom
theoretical density: 3.1 g/cm3

Lattice parameters (Å, degrees): 5.440 5.440 6.719 73.15 73.15 28.08
Sites, in units of the cell vectors:
Al (0.972, 0.972, 0.056)
Si (0.641, 0.641, 0.713)
Si (0.297, 0.297, 0.890)
Si (0.972, 0.972, 0.555)
Si (0.303, 0.303, 0.399)
Si (0.647, 0.647, 0.221)



# 5
# Al3Si2

A geometry-optimized Al3Si2 structure (PBE-GGA, Alexandria via LeMat-Bulk).

Calculated values
raw total energy: -4.2001 eV/atom
energy relative to the elements, uncorrected: 0.21 eV per atom
theoretical density: 2.7 g/cm3

Lattice parameters (Å, degrees): 9.788 9.788 9.788 18.55 18.55 18.55
Sites, in units of the cell vectors:
Si (0.399, 0.399, 0.399)
Al (0.000, 0.000, 0.000)
Al (0.202, 0.202, 0.202)
Al (0.798, 0.798, 0.798)
Si (0.601, 0.601, 0.601)



# 6
# AlSi5

A geometry-optimized AlSi5 structure (PBE-GGA, Alexandria via LeMat-Bulk).

Calculated values
raw total energy: -4.7376 eV/atom
energy relative to the elements, uncorrected: 0.41 eV per atom
theoretical density: 3.2 g/cm3

Lattice parameters (Å, degrees): 4.671 4.671 4.647 90.00 90.00 120.00
Sites, in units of the cell vectors:
Si (0.667, 0.000, 0.000)
Al (0.000, 0.000, 0.500)
Si (0.333, 0.333, 0.000)
Si (0.333, 0.667, 0.500)
Si (0.000, 0.667, 0.000)
Si (0.667, 0.333, 0.500)